No. 1
This record from the Alexandria database describes crystalline Pm5DyY2Tm at its relaxed geometry. The functional is PBE-GGA.

a b c (Å): 10.522 10.522 10.647
angles (deg): 90.00 90.00 148.78
Positions (direct):
1 Pm 0.018 0.982 0.500
2 Pm 0.113 0.887 0.778
3 Pm 0.202 0.798 0.463
4 Pm 0.219 0.781 0.069
5 Pm 0.482 0.518 0.775
6 Pm 0.518 0.482 0.275
7 Pm 0.781 0.219 0.569
8 Pm 0.798 0.202 0.963
9 Pm 0.887 0.113 0.278
10 Pm 0.982 0.018 0.000
11 Dy 0.091 0.909 0.218
12 Dy 0.909 0.091 0.718
13 Y 0.385 0.615 0.070
14 Y 0.388 0.612 0.493
15 Y 0.612 0.388 0.993
16 Y 0.615 0.385 0.570
17 Tm 0.300 0.700 0.767
18 Tm 0.700 0.300 0.267

Calculated values
The total energy is -4.9412 eV/atom. For the formation energy, the calculation gives 0.143 eV per atom.

No. 2
This record from the Alexandria database describes crystalline Sr2DySb3Rh4 at its relaxed geometry. The functional is PBE-GGA.

a b c (Å): 4.465 4.465 11.467
angles (deg): 90.00 90.00 90.00
Positions (direct):
1 Sr 0.000 0.500 0.237
2 Sr 0.500 0.000 0.763
3 Dy 0.000 0.000 0.500
4 Sb 0.000 0.500 0.872
5 Sb 0.500 0.000 0.128
6 Sb 0.500 0.500 0.500
7 Rh 0.000 0.000 0.000
8 Rh 0.000 0.500 0.644
9 Rh 0.500 0.000 0.356
10 Rh 0.500 0.500 0.000

Calculated values
The value obtained for the formation energy without anion corrections is -7.88 eV/f.u. The total energy is -5.7622 eV/atom.

No. 3
This record from the Alexandria database describes crystalline NaBe2Au at its relaxed geometry. The functional is PBE-GGA.

a b c (Å): 4.241 4.241 4.241
angles (deg): 60.00 60.00 60.00
Positions (direct):
1 Na 0.000 0.000 0.000
2 Be 0.250 0.250 0.250
3 Be 0.750 0.750 0.750
4 Au 0.500 0.500 0.500

Calculated values
The total energy is -2.7874 eV/atom. For the formation energy, the calculation gives 0.225 eV per atom.

No. 4
This record from the Alexandria database describes crystalline Th3Al4Hg2 at its relaxed geometry. The functional is PBE-GGA.

a b c (Å): 6.039 6.039 8.923
angles (deg): 109.00 109.00 45.14
Positions (direct):
1 Th 0.000 0.000 0.000
2 Th 0.346 0.346 0.323
3 Th 0.654 0.654 0.677
4 Al 0.065 0.065 0.400
5 Al 0.272 0.272 0.944
6 Al 0.728 0.728 0.056
7 Al 0.935 0.935 0.600
8 Hg 0.367 0.367 0.705
9 Hg 0.633 0.633 0.295

Calculated values
The total energy is -4.5690 eV/atom. For the formation energy, the calculation gives -0.365 eV per atom.

No. 5
This record from the Alexandria database describes crystalline RbThInCl6 at its relaxed geometry. The functional is PBE-GGA.

a b c (Å): 8.015 8.015 12.411
angles (deg): 90.00 90.00 120.00
Positions (direct):
1 Rb 0.333 0.667 0.250
2 Rb 0.667 0.333 0.750
3 Th 0.333 0.667 0.750
4 Th 0.667 0.333 0.250
5 In 0.000 0.000 0.000
6 In 0.000 0.000 0.500
7 Cl 0.059 0.385 0.627
8 Cl 0.059 0.674 0.873
9 Cl 0.326 0.385 0.873
10 Cl 0.326 0.941 0.627
11 Cl 0.385 0.059 0.127
12 Cl 0.385 0.326 0.373
13 Cl 0.615 0.674 0.627
14 Cl 0.615 0.941 0.873
15 Cl 0.674 0.059 0.373
16 Cl 0.674 0.615 0.127
17 Cl 0.941 0.326 0.127
18 Cl 0.941 0.615 0.373

Calculated values
The value obtained for the formation energy without anion corrections is -16.73 eV/f.u. The total energy is -4.3256 eV/atom.

No. 6
This record from the Alexandria database describes crystalline HoScS3 at its relaxed geometry. The functional is PBE-GGA.

a b c (Å): 7.142 7.142 7.142
angles (deg): 55.74 55.74 55.74
Positions (direct):
1 Ho 0.148 0.148 0.148
2 Ho 0.852 0.852 0.852
3 Sc 0.345 0.345 0.345
4 Sc 0.655 0.655 0.655
5 S 0.060 0.452 0.732
6 S 0.268 0.940 0.548
7 S 0.452 0.732 0.060
8 S 0.548 0.268 0.940
9 S 0.732 0.060 0.452
10 S 0.940 0.548 0.268

Calculated values
The value obtained for the formation energy without anion corrections is -9.80 eV/f.u. The total energy is -6.6182 eV/atom.

No. 7
This record from the Alexandria database describes crystalline TaBP2S at its relaxed geometry. The functional is PBE-GGA.

a b c (Å): 4.108 4.108 4.113
angles (deg): 90.00 90.00 90.00
Positions (direct):
1 Ta 0.000 0.000 0.000
2 B 0.500 0.500 0.500
3 P 0.000 0.500 0.500
4 P 0.500 0.000 0.500
5 S 0.500 0.500 0.000

Calculated values
The value obtained for the formation energy without anion corrections is 3.52 eV/f.u. The total energy is -5.9917 eV/atom.

No. 8
This record from the Alexandria database describes crystalline La5Tl4 at its relaxed geometry. The functional is PBE-GGA.

a b c (Å): 6.572 6.572 10.610
angles (deg): 117.89 117.89 46.70
Positions (direct):
1 La 0.000 0.000 0.000
2 La 0.324 0.324 0.445
3 La 0.355 0.355 0.134
4 La 0.645 0.645 0.866
5 La 0.676 0.676 0.555
6 Tl 0.011 0.011 0.654
7 Tl 0.317 0.317 0.792
8 Tl 0.683 0.683 0.208
9 Tl 0.989 0.989 0.346

Calculated values
The total energy is -4.1372 eV/atom. For the formation energy, the calculation gives -0.348 eV per atom.

No. 9
This record from the Alexandria database describes crystalline Nd3Sm8Er2 at its relaxed geometry. The functional is PBE-GGA.

a b c (Å): 8.849 8.849 6.215
angles (deg): 107.44 107.44 83.53
Positions (direct):
1 Nd 0.000 0.000 0.000
2 Nd 0.242 0.758 0.500
3 Nd 0.758 0.242 0.500
4 Sm 0.084 0.570 0.827
5 Sm 0.157 0.157 0.550
6 Sm 0.430 0.916 0.173
7 Sm 0.446 0.446 0.716
8 Sm 0.554 0.554 0.284
9 Sm 0.570 0.084 0.827
10 Sm 0.843 0.843 0.450
11 Sm 0.916 0.430 0.173
12 Er 0.288 0.288 0.145
13 Er 0.712 0.712 0.855

Calculated values
The total energy is -4.5481 eV/atom. For the formation energy, the calculation gives 0.158 eV per atom.

No. 10
This record from the Alexandria database describes crystalline Lu2MgRu at its relaxed geometry. The functional is PBE-GGA.

a b c (Å): 3.378 3.378 7.949
angles (deg): 90.00 90.00 90.00
Positions (direct):
1 Lu 0.000 0.000 0.201
2 Lu 0.000 0.000 0.799
3 Mg 0.500 0.500 0.500
4 Ru 0.500 0.500 0.000

Calculated values
The total energy is -5.3542 eV/atom. For the formation energy, the calculation gives -0.376 eV per atom.

No. 11
This record from the Alexandria database describes crystalline SnMoW3 at its relaxed geometry. The functional is PBE-GGA.

a b c (Å): 4.778 4.778 4.778
angles (deg): 90.00 90.00 90.00
Positions (direct):
1 Sn 0.000 0.000 0.000
2 Mo 0.500 0.500 0.500
3 W 0.000 0.500 0.500
4 W 0.500 0.000 0.500
5 W 0.500 0.500 0.000

Calculated values
The total energy is -8.7657 eV/atom. For the formation energy, the calculation gives 1.973 eV per atom.

No. 12
This record from the Alexandria database describes crystalline FeCoNi2 at its relaxed geometry. The functional is PBE-GGA.

a b c (Å): 8.345 8.345 8.345
angles (deg): 17.21 17.21 17.21
Positions (direct):
1 Fe 0.000 0.000 0.000
2 Co 0.500 0.500 0.500
3 Ni 0.249 0.249 0.249
4 Ni 0.751 0.751 0.751

Calculated values
The total energy is -6.7982 eV/atom. For the formation energy, the calculation gives -0.015 eV per atom.

DOS(E_F) readings, ordered: 29.2, 7.1, 1.3, 4.4, 0.0, 0.0, 2.4, 9.1, 22.5, 2.5, 8.4, 2.9 states/eV per cell